A geometry-optimized NiPPt structure, computed with GGA-PBE.

Results
Total magnetization   0.0 μB per cell
VASP energy   -36.813 eV/cell
Crystal system   monoclinic

Cell and atoms, written as POSCAR:
```
NiPPt
1.0
-1.168 -0.508 -3.331
5.133 0.346 -1.853
0.947 -4.073 1.864
Ni P Pt
2 2 2
direct
0.110 0.214 0.759
0.890 0.714 0.241
0.329 0.495 0.119
0.671 0.995 0.881
0.554 0.590 0.662
0.446 0.090 0.338
```

=====

A geometry-optimized BaPIrO2 structure, computed with GGA-PBE.

Results
Total magnetization   1.6 μB per cell
Energy above the lowest structure with this stoichiometry   1614 meV per atom
Raw formation energy   4.68 eV/f.u.
VASP energy   -21.427 eV/cell
Crystal system   tetragonal

Cell and atoms, written as POSCAR:
```
BaPIrO2
1.0
-2.664 1.281 2.992
0.147 -3.815 1.765
5.434 2.043 3.964
P Ir Ba O
1 1 1 2
direct
0.000 0.000 0.500
0.500 0.500 0.500
0.000 0.000 0.000
0.000 0.500 0.000
0.500 0.000 0.000
```

=====

A geometry-optimized Y3MgHg4 structure, computed with GGA-PBE.

Results
Total magnetization   0.0 μB per cell
VASP energy   -26.070 eV/cell
Crystal system   trigonal

Cell and atoms, written as POSCAR:
```
Y3MgHg4
1.0
-2.032 -3.423 3.289
2.031 -0.572 4.713
-5.284 4.696 5.675
Y Mg Hg
3 1 4
direct
0.255 0.255 0.236
0.745 0.745 0.764
0.500 0.500 0.500
0.000 0.000 0.000
0.874 0.874 0.379
0.375 0.375 0.874
0.126 0.126 0.621
0.625 0.625 0.126
```